Record 1
Computed, not measured: a relaxed CsBaHgSb2 crystal at the PBE level of DFT.

a b c (Å): 6.294 6.294 6.184
angles (deg): 90.00 90.00 90.00
Element x y z (fractional)
Cs  0.000  0.000  0.000
Ba  0.500  0.500  0.500
Hg  0.000  0.000  0.500
Sb  0.000  0.500  0.000
Sb  0.500  0.000  0.000

D(E_F)   0.942 states/eV/atom
Formation energy (no corrections)   0.32 eV per atom



Record 2
Computed, not measured: a relaxed CsBaHgSb crystal at the PBE level of DFT.

a b c (Å): 6.146 6.146 6.146
angles (deg): 60.00 60.00 60.00
Element x y z (fractional)
Cs  0.000  0.000  0.000
Ba  0.500  0.500  0.500
Hg  0.750  0.750  0.750
Sb  0.250  0.250  0.250

Formation energy (no corrections)   -0.58 eV per atom



Record 3
Computed, not measured: a relaxed Cs2BaHg2Se4 crystal at the PBE level of DFT.

a b c (Å): 9.089 9.089 8.699
angles (deg): 109.13 109.13 29.37
Element x y z (fractional)
Cs  0.129  0.129  0.058
Cs  0.871  0.871  0.942
Ba  0.000  0.000  0.500
Hg  0.334  0.334  0.526
Hg  0.666  0.666  0.474
Se  0.208  0.208  0.668
Se  0.479  0.479  0.751
Se  0.521  0.521  0.249
Se  0.792  0.792  0.332

Formation energy (no corrections)   -1.00 eV per atom



Record 4
Computed, not measured: a relaxed CsBa2HgSe crystal at the PBE level of DFT.

a b c (Å): 6.280 6.280 7.908
angles (deg): 90.00 90.00 90.00
Element x y z (fractional)
Cs  0.000  0.000  0.000
Ba  0.000  0.500  0.500
Ba  0.500  0.000  0.500
Hg  0.500  0.500  0.000
Se  0.500  0.500  0.500

D(E_F)   1.148 states/eV/atom
Formation energy (no corrections)   -0.59 eV per atom



Record 5
Computed, not measured: a relaxed CsBa2SrHg crystal at the PBE level of DFT.

a b c (Å): 6.825 6.825 6.648
angles (deg): 90.00 90.00 90.00
Element x y z (fractional)
Cs  0.000  0.000  0.000
Ba  0.000  0.500  0.500
Ba  0.500  0.000  0.500
Sr  0.500  0.500  0.000
Hg  0.500  0.500  0.500

ΔE_f   -0.122 eV per atom
D(E_F)   1.215 states/eV/atom



Record 6
Computed, not measured: a relaxed CsBaSr2Hg crystal at the PBE level of DFT.

a b c (Å): 6.602 6.602 6.756
angles (deg): 90.00 90.00 90.00
Element x y z (fractional)
Cs  0.000  0.000  0.000
Ba  0.500  0.500  0.000
Sr  0.000  0.500  0.500
Sr  0.500  0.000  0.500
Hg  0.500  0.500  0.500

ΔE_f   -0.122 eV per atom
D(E_F)   1.178 states/eV/atom



Record 7
Computed, not measured: a relaxed CsBaTiHg2 crystal at the PBE level of DFT.

a b c (Å): 6.367 6.367 7.392
angles (deg): 90.00 90.00 90.00
Element x y z (fractional)
Cs  0.000  0.000  0.000
Ba  0.000  0.000  0.500
Ti  0.500  0.500  0.000
Hg  0.000  0.500  0.500
Hg  0.500  0.000  0.500

ΔE_f   1.002 eV per atom
D(E_F)   1.393 states/eV/atom



Record 8
Computed, not measured: a relaxed CsBaTlHg crystal at the PBE level of DFT.

a b c (Å): 6.213 6.213 6.213
angles (deg): 60.00 60.00 60.00
Element x y z (fractional)
Cs  0.000  0.000  0.000
Ba  0.500  0.500  0.500
Tl  0.750  0.750  0.750
Hg  0.250  0.250  0.250

ΔE_f   -0.181 eV per atom
D(E_F)   1.101 states/eV/atom



Record 9
Computed, not measured: a relaxed CsBa2HoI8 crystal at the PBE level of DFT.

a b c (Å): 7.694 7.918 10.684
angles (deg): 90.03 90.07 90.06
Element x y z (fractional)
Cs  0.000  0.000  0.000
Ba  0.500  0.500  0.255
Ba  0.500  0.500  0.745
Ho  0.000  0.000  0.500
I  0.231  0.851  0.300
I  0.231  0.852  0.700
I  0.234  0.320  0.500
I  0.255  0.398  0.000
I  0.745  0.602  0.000
I  0.766  0.680  0.500
I  0.769  0.148  0.300
I  0.769  0.149  0.700

D(E_F)   0.000 states/eV/atom
Formation energy (no corrections)   -1.57 eV per atom



Record 10
Computed, not measured: a relaxed CsBaHoI6 crystal at the PBE level of DFT.

a b c (Å): 8.583 8.583 16.254
angles (deg): 90.00 90.00 120.00
Element x y z (fractional)
Cs  0.000  0.000  0.000
Cs  0.000  0.000  0.500
Ba  0.333  0.667  0.250
Ba  0.667  0.333  0.750
Ho  0.333  0.667  0.750
Ho  0.667  0.333  0.250
I  0.038  0.390  0.640
I  0.038  0.648  0.860
I  0.352  0.390  0.860
I  0.352  0.962  0.640
I  0.390  0.038  0.140
I  0.390  0.352  0.360
I  0.610  0.648  0.640
I  0.610  0.962  0.860
I  0.648  0.038  0.360
I  0.648  0.610  0.140
I  0.962  0.352  0.140
I  0.962  0.610  0.360

D(E_F)   0.000 states/eV/atom
Formation energy (no corrections)   -1.56 eV per atom



Record 11
Computed, not measured: a relaxed Cs2BaHoI6 crystal at the PBE level of DFT.

a b c (Å): 8.803 12.839 9.394
angles (deg): 90.00 90.00 90.00
Element x y z (fractional)
Cs  0.250  0.031  0.208
Cs  0.250  0.469  0.208
Cs  0.750  0.531  0.792
Cs  0.750  0.969  0.792
Ba  0.250  0.250  0.723
Ba  0.750  0.750  0.277
Ho  0.250  0.750  0.774
Ho  0.750  0.250  0.226
I  0.003  0.750  0.549
I  0.012  0.750  0.008
I  0.250  0.513  0.771
I  0.250  0.987  0.771
I  0.488  0.750  0.008
I  0.497  0.750  0.549
I  0.503  0.250  0.451
I  0.512  0.250  0.992
I  0.750  0.013  0.229
I  0.750  0.487  0.229
I  0.988  0.250  0.992
I  0.997  0.250  0.451

D(E_F)   0.516 states/eV/atom
Formation energy (no corrections)   -1.43 eV per atom



Record 12
Computed, not measured: a relaxed CsBaI3 crystal at the PBE level of DFT.

a b c (Å): 12.648 12.648 12.648
angles (deg): 145.37 145.37 49.78
Element x y z (fractional)
Cs  0.097  0.097  0.000
Cs  0.903  0.903  0.000
Ba  0.500  0.500  0.000
Ba  0.750  0.250  0.500
I  0.034  0.534  0.500
I  0.122  0.365  0.757
I  0.466  0.966  0.500
I  0.608  0.365  0.243
I  0.635  0.392  0.757
I  0.635  0.878  0.243

D(E_F)   0.000 states/eV/atom
Formation energy (no corrections)   -1.45 eV per atom



Record 13
Computed, not measured: a relaxed CsBaI3 crystal at the PBE level of DFT.

a b c (Å): 9.931 9.931 10.506
angles (deg): 96.41 96.41 37.96
Element x y z (fractional)
Cs  0.136  0.136  0.383
Cs  0.864  0.864  0.617
Ba  0.370  0.370  0.084
Ba  0.630  0.630  0.916
I  0.176  0.176  0.010
I  0.340  0.340  0.396
I  0.450  0.450  0.799
I  0.550  0.550  0.201
I  0.660  0.660  0.604
I  0.824  0.824  0.990

D(E_F)   0.000 states/eV/atom
Formation energy (no corrections)   -1.67 eV per atom



Record 14
Computed, not measured: a relaxed Cs4BaI5 crystal at the PBE level of DFT.

a b c (Å): 9.440 9.440 9.440
angles (deg): 99.57 99.57 131.86
Element x y z (fractional)
Cs  0.093  0.699  0.792
Cs  0.301  0.093  0.394
Cs  0.699  0.907  0.606
Cs  0.907  0.301  0.208
Ba  0.500  0.500  0.000
I  0.003  0.003  0.000
I  0.224  0.407  0.631
I  0.407  0.776  0.183
I  0.593  0.224  0.817
I  0.776  0.593  0.369

Polymorph energy (0 for the lowest one)   20.3 meV per atom
D(E_F)   0.468 states/eV/atom
Formation energy (no corrections)   -1.45 eV per atom



Record 15
Computed, not measured: a relaxed CsBa2I5 crystal at the PBE level of DFT.

a b c (Å): 10.417 10.417 10.417
angles (deg): 150.69 130.70 58.40
Element x y z (fractional)
Cs  0.000  0.000  0.000
Ba  0.313  0.813  0.500
Ba  0.687  0.187  0.500
I  0.083  0.347  0.736
I  0.389  0.653  0.736
I  0.500  0.000  0.500
I  0.611  0.347  0.264
I  0.917  0.653  0.264

D(E_F)   0.000 states/eV/atom
Formation energy (no corrections)   -1.72 eV per atom



Record 16
Computed, not measured: a relaxed CsBaI3 crystal at the PBE level of DFT.

a b c (Å): 9.151 9.155 9.990
angles (deg): 117.24 90.01 119.98
Element x y z (fractional)
Cs  0.139  0.279  0.419
Cs  0.861  0.721  0.581
Ba  0.342  0.685  0.027
Ba  0.658  0.315  0.973
I  0.059  0.534  0.236
I  0.297  0.239  0.765
I  0.474  0.177  0.236
I  0.526  0.823  0.764
I  0.703  0.761  0.235
I  0.941  0.466  0.764

D(E_F)   0.000 states/eV/atom
Formation energy (no corrections)   -1.69 eV per atom



Record 17
Computed, not measured: a relaxed CsBaI3 crystal at the PBE level of DFT.

a b c (Å): 9.367 5.354 20.928
angles (deg): 90.00 90.00 90.00
Element x y z (fractional)
Cs  0.136  0.250  0.200
Cs  0.364  0.750  0.700
Cs  0.636  0.250  0.300
Cs  0.864  0.750  0.800
Ba  0.238  0.750  0.458
Ba  0.262  0.250  0.958
Ba  0.738  0.750  0.042
Ba  0.762  0.250  0.542
I  0.012  0.250  0.411
I  0.131  0.750  0.052
I  0.170  0.250  0.798
I  0.330  0.750  0.298
I  0.369  0.250  0.552
I  0.488  0.750  0.911
I  0.512  0.250  0.089
I  0.631  0.750  0.448
I  0.670  0.250  0.702
I  0.830  0.750  0.202
I  0.869  0.250  0.948
I  0.988  0.750  0.589

D(E_F)   0.000 states/eV/atom
Formation energy (no corrections)   -1.70 eV per atom



Record 18
Computed, not measured: a relaxed CsBaI3 crystal at the PBE level of DFT.

a b c (Å): 5.131 10.013 10.013
angles (deg): 45.77 90.00 90.00
Element x y z (fractional)
Cs  0.000  0.000  0.000
Ba  0.500  0.757  0.757
I  0.000  0.073  0.569
I  0.000  0.569  0.073
I  0.500  0.141  0.141

D(E_F)   0.000 states/eV/atom
Formation energy (no corrections)   -1.40 eV per atom



Record 19
Computed, not measured: a relaxed CsBa3I6 crystal at the PBE level of DFT.

a b c (Å): 14.980 5.037 15.418
angles (deg): 90.00 114.13 90.00
Element x y z (fractional)
Cs  0.208  0.250  0.061
Cs  0.792  0.750  0.939
Ba  0.034  0.750  0.297
Ba  0.367  0.250  0.453
Ba  0.396  0.750  0.836
Ba  0.604  0.250  0.164
Ba  0.633  0.750  0.547
Ba  0.966  0.250  0.703
I  0.024  0.750  0.876
I  0.128  0.250  0.463
I  0.225  0.250  0.795
I  0.255  0.750  0.274
I  0.422  0.750  0.074
I  0.444  0.750  0.636
I  0.556  0.250  0.364
I  0.578  0.250  0.926
I  0.745  0.250  0.726
I  0.775  0.750  0.205
I  0.872  0.750  0.537
I  0.976  0.250  0.124

D(E_F)   0.365 states/eV/atom
Formation energy (no corrections)   -1.61 eV per atom



Record 20
Computed, not measured: a relaxed CsBa4I8 crystal at the PBE level of DFT.

a b c (Å): 8.501 8.501 8.501
angles (deg): 90.00 90.00 90.00
Element x y z (fractional)
Cs  0.000  0.000  0.000
Ba  0.000  0.000  0.500
Ba  0.000  0.500  0.000
Ba  0.500  0.000  0.000
Ba  0.500  0.500  0.500
I  0.252  0.252  0.252
I  0.252  0.252  0.748
I  0.252  0.748  0.252
I  0.252  0.748  0.748
I  0.748  0.252  0.252
I  0.748  0.252  0.748
I  0.748  0.748  0.252
I  0.748  0.748  0.748

Polymorph energy (0 for the lowest one)   19.0 meV per atom
D(E_F)   0.306 states/eV/atom
Formation energy (no corrections)   -1.61 eV per atom